# In2SiAu, optimized geometry, DFT PBEsol
# Density: 9.06 g/cm³
# Total magnetization: 0.0 Bohr magnetons per cell
# V: 83 Å³/f.u.
# VASP energy: -30.71 eV for the cell shown
data_In2SiAu
_cell_length_a 10.524
_cell_length_b 3.026
_cell_length_c 6.124
_cell_angle_alpha 90.00
_cell_angle_beta 121.28
_cell_angle_gamma 90.00
_space_group_name_H-M_alt 'C 1 m 1'
_space_group_IT_number 8
loop_
_space_group_symop_operation_xyz
'x,y,z'
'x,-y,z'
'x+1/2,y+1/2,z'
'x+1/2,-y+1/2,z'
loop_
_atom_site_label
_atom_site_type_symbol
_atom_site_fract_x
_atom_site_fract_y
_atom_site_fract_z
In1 In 0.000 0.000 0.000
In2 In 0.139 0.000 0.615
Si1 Si 0.278 0.500 0.124
Au1 Au 0.372 0.000 0.513